Entry 1:
# TaZn2Pb (SCAN, PBEsol geometry)
data_TaZn2Pb
_space_group_name_H-M_alt 'R -3 m'
_space_group_IT_number 166
_space_group_name_Hall '-R 3 2"'
_cell_length_a 3.0754
_cell_length_b 3.0754
_cell_length_c 27.9820
_cell_angle_alpha 90.00
_cell_angle_beta 90.00
_cell_angle_gamma 120.00
loop_
_atom_site_label
_atom_site_type_symbol
_atom_site_fract_x
_atom_site_fract_y
_atom_site_fract_z
Ta1 Ta 0.0000 0.0000 0.0000
Zn1 Zn 0.0000 0.0000 0.2577
Pb1 Pb 0.0000 0.0000 0.5000
# E ... -504.28 eV for the cell shown
# Formation energy ... 1.30 eV/f.u.
# Calculated volume ... 76 Å³/f.u.
# Crystal system ... trigonal


Entry 2:
# TaZnPb2 (SCAN, PBEsol geometry)
data_TaZnPb2
_space_group_name_H-M_alt 'C m m 2'
_space_group_IT_number 35
_cell_length_a 4.234
_cell_length_b 4.511
_cell_length_c 9.382
_cell_angle_alpha 90.00
_cell_angle_beta 90.00
_cell_angle_gamma 90.00
loop_
_space_group_symop_operation_xyz
'x,y,z'
'-x,-y,z'
'-x,y,z'
'x,-y,z'
'x+1/2,y+1/2,z'
'-x+1/2,-y+1/2,z'
'-x+1/2,y+1/2,z'
'x+1/2,-y+1/2,z'
loop_
_atom_site_label
_atom_site_type_symbol
_atom_site_fract_x
_atom_site_fract_y
_atom_site_fract_z
Ta1 Ta 0.000 0.000 0.000
Zn1 Zn 0.000 0.500 0.179
Pb1 Pb 0.000 0.000 0.409
Pb2 Pb 0.000 0.500 0.753
# E ... -461.22 eV for the cell shown
# Formation energy ... 1.05 eV/f.u.
# Calculated volume ... 90 Å³/f.u.
# Crystal system ... orthorhombic


Entry 3:
# Ta2ZnPb (SCAN, PBEsol geometry)
data_Ta2ZnPb
_space_group_name_H-M_alt 'P 1 2/m 1'
_space_group_IT_number 10
_cell_length_a 2.923
_cell_length_b 4.534
_cell_length_c 5.673
_cell_angle_alpha 90.00
_cell_angle_beta 102.73
_cell_angle_gamma 90.00
loop_
_space_group_symop_operation_xyz
'x,y,z'
'-x,-y,-z'
'-x,y,-z'
'x,-y,z'
loop_
_atom_site_label
_atom_site_type_symbol
_atom_site_fract_x
_atom_site_fract_y
_atom_site_fract_z
Ta1 Ta 0.243 0.000 0.231
Zn1 Zn 0.500 0.500 0.000
Pb1 Pb 0.000 0.500 0.500
# E ... -221.15 eV for the cell shown
# Formation energy ... 1.31 eV/f.u.
# Calculated volume ... 73 Å³/f.u.
# Crystal system ... monoclinic


Entry 4:
# Ta2ZnPb (SCAN, PBEsol geometry)
data_Ta2ZnPb
_space_group_name_H-M_alt 'P 4/m m m'
_space_group_IT_number 123
_space_group_name_Hall '-P 4 2'
_cell_length_a 2.997
_cell_length_b 2.997
_cell_length_c 8.092
_cell_angle_alpha 90.00
_cell_angle_beta 90.00
_cell_angle_gamma 90.00
loop_
_atom_site_label
_atom_site_type_symbol
_atom_site_fract_x
_atom_site_fract_y
_atom_site_fract_z
Ta1 Ta 0.000 0.000 0.216
Zn1 Zn 0.500 0.500 0.000
Pb1 Pb 0.500 0.500 0.500
# E ... -220.93 eV for the cell shown
# Formation energy ... 1.53 eV/f.u.
# Calculated volume ... 73 Å³/f.u.
# Crystal system ... tetragonal


Entry 5:
# Ta2ZnPb (SCAN, PBEsol geometry)
data_Ta2ZnPb
_space_group_name_H-M_alt 'I 4/m m m'
_space_group_IT_number 139
_space_group_name_Hall '-I 4 2'
_cell_length_a 4.046
_cell_length_b 4.046
_cell_length_c 8.816
_cell_angle_alpha 90.00
_cell_angle_beta 90.00
_cell_angle_gamma 90.00
loop_
_atom_site_label
_atom_site_type_symbol
_atom_site_fract_x
_atom_site_fract_y
_atom_site_fract_z
Ta1 Ta 0.000 0.500 0.250
Zn1 Zn 0.000 0.000 0.000
Pb1 Pb 0.000 0.000 0.500
# E ... -442.49 eV for the cell shown
# Formation energy ... 1.22 eV/f.u.
# Calculated volume ... 72 Å³/f.u.
# Crystal system ... tetragonal


Entry 6:
# TaZnPb2 (SCAN, PBEsol geometry)
data_TaZnPb2
_space_group_name_H-M_alt 'P m m m'
_space_group_IT_number 47
_cell_length_a 3.147
_cell_length_b 5.026
_cell_length_c 5.475
_cell_angle_alpha 90.00
_cell_angle_beta 90.00
_cell_angle_gamma 90.00
loop_
_space_group_symop_operation_xyz
'x,y,z'
'-x,-y,-z'
'-x,-y,z'
'x,y,-z'
'x,-y,-z'
'-x,y,z'
'-x,y,-z'
'x,-y,z'
loop_
_atom_site_label
_atom_site_type_symbol
_atom_site_fract_x
_atom_site_fract_y
_atom_site_fract_z
Ta1 Ta 0.000 0.000 0.000
Zn1 Zn 0.500 0.000 0.500
Pb1 Pb 0.000 0.500 0.500
Pb2 Pb 0.500 0.500 0.000
# E ... -229.11 eV for the cell shown
# Formation energy ... 2.55 eV/f.u.
# Calculated volume ... 87 Å³/f.u.
# Crystal system ... orthorhombic